Entry from Alexandria via LeMat-Bulk: a relaxed K2LiIn crystal (PBE).

Properties
**DFT total energy**: -1.6385 eV per atom
**Space group**: No. 216

Unit cell a=5.938 b=5.938 c=5.938 alpha=60.00 beta=60.00 gamma=60.00
Fractional positions:
In  0.500  0.500  0.500
K  0.000  0.000  0.000
K  0.250  0.250  0.250
Li  0.750  0.750  0.750

=====

Entry from Alexandria via LeMat-Bulk: a relaxed KLiIn crystal (PBE).

Properties
**Energy above the lowest structure with this stoichiometry**: 0.0007 eV per atom
**Space group**: No. 1

Unit cell a=5.000 b=5.977 c=6.888 alpha=93.35 beta=110.97 gamma=90.00
Fractional positions:
K  0.912  0.701  0.370
K  0.446  0.207  0.439
Li  0.695  0.230  0.946
Li  0.169  0.962  0.894
In  0.172  0.462  0.900
In  0.636  0.726  0.827

=====

Entry from Alexandria via LeMat-Bulk: a relaxed KLiIn crystal (PBE).

Properties
**Energy above the lowest structure with this stoichiometry**: 0.0807 eV per atom
**Space group**: No. 44

Unit cell a=6.934 b=6.934 c=6.934 alpha=151.48 beta=142.97 gamma=47.39
Fractional positions:
In  0.047  0.047  0.000
K  0.340  0.340  0.000
Li  0.614  0.614  0.000

=====

Entry from Alexandria via LeMat-Bulk: a relaxed KLiIn crystal (PBE).

Properties
**Energy above the lowest structure with this stoichiometry**: 0.0361 eV per atom
**Space group**: No. 63

Unit cell a=3.970 b=4.263 c=12.538 alpha=90.00 beta=99.11 gamma=90.00
Fractional positions:
Li  0.456  0.750  0.912
Li  0.544  0.250  0.088
K  0.828  0.750  0.657
K  0.172  0.250  0.343
In  0.951  0.250  0.902
In  0.049  0.750  0.098

=====

Entry from Alexandria via LeMat-Bulk: a relaxed KLiIn2 crystal (PBE).

Properties
**Energy above the lowest structure with this stoichiometry**: 0.2057 eV per atom
**Space group**: No. 225

Unit cell a=5.454 b=5.454 c=5.454 alpha=60.00 beta=60.00 gamma=60.00
Fractional positions:
K  0.500  0.500  0.500
Li  0.000  0.000  0.000
In  0.250  0.250  0.250
In  0.750  0.750  0.750

=====

Entry from Alexandria via LeMat-Bulk: a relaxed KLiIn crystal (PBE).

Properties
**Energy above the lowest structure with this stoichiometry**: 0.0000 eV per atom
**Space group**: No. 11

Unit cell a=5.978 b=4.977 c=6.488 alpha=90.00 beta=103.72 gamma=90.00
Fractional positions:
K  0.755  0.250  0.962
K  0.245  0.750  0.038
Li  0.617  0.250  0.452
Li  0.383  0.750  0.548
In  0.142  0.250  0.526
In  0.858  0.750  0.474

=====

Entry from Alexandria via LeMat-Bulk: a relaxed KLiIn2 crystal (PBE).

Properties
**Energy above the lowest structure with this stoichiometry**: 0.1475 eV per atom
**Space group**: No. 71

Unit cell a=6.582 b=6.582 c=6.582 alpha=149.10 beta=128.85 gamma=60.97
Fractional positions:
In  0.039  0.039  0.000
In  0.461  0.461  0.000
K  0.750  0.250  0.500
Li  0.250  0.750  0.500

=====

Entry from Alexandria via LeMat-Bulk: a relaxed K2LiIn crystal (PBE).

Properties
**DFT total energy**: -1.5989 eV per atom
**Space group**: No. 71

Unit cell a=6.775 b=6.775 c=5.225 alpha=67.28 beta=67.28 gamma=45.26
Fractional positions:
In  0.250  0.250  0.250
K  0.000  0.000  0.000
K  0.500  0.500  0.500
Li  0.750  0.750  0.750

=====

Entry from Alexandria via LeMat-Bulk: a relaxed KLiIn2 crystal (PBE).

Properties
**Energy above the lowest structure with this stoichiometry**: 0.0615 eV per atom
**Space group**: No. 6

Unit cell a=4.829 b=3.394 c=7.325 alpha=88.88 beta=90.00 gamma=90.00
Fractional positions:
In  0.000  0.128  0.957
In  0.500  0.123  0.196
K  0.000  0.611  0.480
Li  0.500  0.637  0.867

=====

Entry from Alexandria via LeMat-Bulk: a relaxed KLiIn crystal (PBE).

Properties
**Energy above the lowest structure with this stoichiometry**: 0.2402 eV per atom
**Space group**: No. 156

Unit cell a=3.635 b=3.635 c=8.483 alpha=90.00 beta=90.00 gamma=120.00
Fractional positions:
In  0.000  0.000  0.965
K  0.333  0.667  0.324
Li  0.667  0.333  0.711

=====

Entry from Alexandria via LeMat-Bulk: a relaxed KLiIn crystal (PBE).

Properties
**Energy above the lowest structure with this stoichiometry**: 0.0156 eV per atom
**Space group**: No. 8

Unit cell a=10.937 b=4.819 c=8.326 alpha=90.00 beta=90.61 gamma=90.00
Fractional positions:
K  0.925  0.000  0.949
K  0.925  0.500  0.449
K  0.281  0.000  0.609
K  0.281  0.500  0.109
Li  0.577  0.000  0.946
Li  0.577  0.500  0.446
Li  0.734  0.000  0.281
Li  0.734  0.500  0.781
In  0.642  0.000  0.613
In  0.642  0.500  0.113
In  0.488  0.000  0.278
In  0.488  0.500  0.778

=====

Entry from Alexandria via LeMat-Bulk: a relaxed KLiIn crystal (PBE).

Properties
**Energy above the lowest structure with this stoichiometry**: 0.1527 eV per atom
**Space group**: No. 156

Unit cell a=5.686 b=5.686 c=3.211 alpha=90.00 beta=90.00 gamma=120.00
Fractional positions:
In  0.000  0.000  0.932
K  0.667  0.333  0.391
Li  0.333  0.667  0.677

=====

Entry from Alexandria via LeMat-Bulk: a relaxed KLiIn2 crystal (PBE).

Properties
**Energy above the lowest structure with this stoichiometry**: 0.2014 eV per atom
**Space group**: No. 65

Unit cell a=6.273 b=6.273 c=3.381 alpha=90.00 beta=90.00 gamma=118.97
Fractional positions:
In  0.000  0.000  0.000
In  0.500  0.500  0.000
K  0.500  0.000  0.500
Li  0.000  0.500  0.500

=====

Entry from Alexandria via LeMat-Bulk: a relaxed KLiIn2 crystal (PBE).

Properties
**Energy above the lowest structure with this stoichiometry**: 0.0000 eV per atom
**Space group**: No. 12

Unit cell a=4.936 b=4.936 c=6.980 alpha=69.60 beta=69.60 gamma=59.96
Fractional positions:
In  0.940  0.940  0.180
In  0.560  0.560  0.320
K  0.750  0.750  0.750
Li  0.250  0.250  0.250

=====

Record-wise N(E_F) values, in states/eV per atom: 0.9417; 0.3774; 0.4812; 0.4967; 0.6771; 0.4366; 0.5714; 0.6468; 0.3218; 0.9903; 0.3737; 0.4373; 0.5825; 0.4117
Record-wise total moment values, in μB per formula unit: 0.0; 0.0; 0.0; 0.0; 0.0; 0.0; 0.0; 0.4; 0.0; 0.0; 0.0; 0.0; 0.0; 0.0